(1)
Compound: BaAl2Te4
Source: the Alexandria database
Functional: SCAN
Structure: single point on PBEsol structure

Calculated values
Uncorrected formation energy (eV/atom): -1.001
Raw total energy (eV per atom): -30.152
D(E_F) (states/eV/f.u.): 0.00
Spin magnetization (μB/cell): 0.000
Polymorph energy (0 for the lowest one) (meV/atom): 0

Cell lengths 6.6591, 8.4758, 8.4758 Å; angles 90.00, 90.00, 90.00 degrees
With the nearest neighbours (Å) after each atom.
Element x y z (fractional)
Al: 0.5000 0.5000 0.0000  4 Te 2.63
Te: 0.2515 0.1710 0.3290  2 Al 2.63-2.65
Al: 0.0000 0.5000 0.0000  4 Te 2.65
Ba: 0.0000 0.5000 0.5000  8 Te 3.56
Te: 0.7485 0.3290 0.1710  2 Al 2.63-2.65
Te: 0.2515 0.6710 0.1710  2 Al 2.63-2.65
Te: 0.7485 0.1710 0.6710  2 Al 2.63-2.65
Te: 0.2515 0.3290 0.8290  2 Al 2.63-2.65
Te: 0.7485 0.6710 0.8290  2 Al 2.63-2.65
Al: 0.0000 0.0000 0.5000  4 Te 2.65
Te: 0.7485 0.8290 0.3290  2 Al 2.63-2.65
Ba: 0.0000 0.0000 0.0000  8 Te 3.56
Al: 0.5000 0.0000 0.5000  4 Te 2.63
Te: 0.2515 0.8290 0.6710  2 Al 2.63-2.65

***

(2)
Compound: InSb2Rh
Source: the Alexandria database
Functional: SCAN
Structure: single point on PBEsol structure

Calculated values
Uncorrected formation energy (eV/atom): -0.084
Raw total energy (eV per atom): -35.504
D(E_F) (states/eV/f.u.): 1.65
Spin magnetization (μB/cell): 0.000

Cell lengths 3.3090, 4.2570, 7.0157 Å; angles 107.66, 103.64, 90.00 degrees
With the nearest neighbours (Å) after each atom.
Element x y z (fractional)
In: 0.5629 0.5629 0.1259  6 Sb 3.06-3.18, 2 Rh 3.18, 2 In 3.31
Sb: 0.9321 0.9321 0.8641  2 Rh 2.65
Sb: 0.7326 0.2326 0.4653  4 Rh 2.74, 2 In 3.06
Rh: 0.2724 0.7724 0.5448  6 Sb 2.65-2.74

***

(3)
Compound: CoCuBi2S
Source: the Alexandria database
Functional: SCAN
Structure: single point on PBEsol structure

Calculated values
Uncorrected formation energy (eV/atom): 0.499
Raw total energy (eV per atom): -39.359
D(E_F) (states/eV/f.u.): 3.08
Spin magnetization (μB/cell): 0.000

Cell lengths 3.8896, 5.3178, 5.3178 Å; angles 90.00, 90.00, 90.00 degrees
With the nearest neighbours (Å) after each atom.
Element x y z (fractional)
Co: 0.0000 0.0000 0.0000  2 S 1.94
Cu: 0.5000 0.5000 0.5000  8 Bi 3.29
Bi: 0.0000 0.0000 0.5000  2 Co 2.66
S: 0.5000 0.0000 0.0000  2 Co 1.94
Bi: 0.0000 0.5000 0.0000  2 Co 2.66

***

(4)
Compound: HgH2W
Source: the Alexandria database
Functional: SCAN
Structure: single point on PBEsol structure

Calculated values
Raw total energy (eV per atom): -34.776
D(E_F) (states/eV/f.u.): 1.23
Spin magnetization (μB/cell): 2.114

Cell lengths 3.9229, 3.9229, 3.9229 Å; angles 60.00, 60.00, 60.00 degrees
With the nearest neighbours (Å) after each atom.
Element x y z (fractional)
H: 0.2500 0.2500 0.2500  4 Hg 2.40, 4 W 2.40
W: 0.0000 0.0000 0.0000  8 H 2.40
Hg: 0.5000 0.5000 0.5000  8 H 2.40
H: 0.7500 0.7500 0.7500  4 Hg 2.40, 4 W 2.40

***

(5)
Compound: Ta3FeSi
Source: the Alexandria database
Functional: SCAN
Structure: single point on PBEsol structure

Calculated values
Uncorrected formation energy (eV/atom): 0.806
Raw total energy (eV per atom): -44.773
D(E_F) (states/eV/f.u.): 4.19
Spin magnetization (μB/cell): 0.000

Cell lengths 4.4911, 4.4911, 4.4911 Å; angles 90.00, 90.00, 90.00 degrees
With the nearest neighbours (Å) after each atom.
Element x y z (fractional)
Fe: 0.0000 0.0000 0.0000  6 Ta 2.25
Ta: 0.5000 0.0000 0.0000  2 Fe 2.25
Ta: 0.0000 0.0000 0.5000  2 Fe 2.25
Ta: 0.0000 0.5000 0.0000  2 Fe 2.25
Si: 0.5000 0.5000 0.5000  12 Ta 3.18

***

(6)
Compound: Ta2OsW
Source: the Alexandria database
Functional: SCAN
Structure: single point on PBEsol structure

Calculated values
Raw total energy (eV per atom): -69.043
D(E_F) (states/eV/f.u.): 1.22
Spin magnetization (μB/cell): 0.000
Polymorph energy (0 for the lowest one) (meV/atom): 39
ΔH_f (0 K) (meV per atom): -360

Cell lengths 3.1760, 3.1760, 6.3827 Å; angles 90.00, 90.00, 90.00 degrees
With the nearest neighbours (Å) after each atom.
Element x y z (fractional)
Ta: 0.0000 0.0000 0.2481  4 W 2.75, 4 Os 2.76
Os: 0.5000 0.5000 0.5000  8 Ta 2.76
W: 0.5000 0.5000 0.0000  8 Ta 2.75
Ta: 0.0000 0.0000 0.7519  4 W 2.75, 4 Os 2.76